{"formula": "CrBPCl2", "functional": "GGA-PBE", "state": "optimized geometry", "energy_ev_per_cell": -21.897, "magmom_total_mub_per_fu": 3.39, "e_form_raw_ev_per_fu": 3.51, "volume_a3_per_atom": 16.475, "lattice_angstrom": [[4.378, 0.000, 0.000], [0.000, 4.378, 0.000], [0.000, 0.000, 4.298]], "species": ["Cr", "B", "P", "Cl", "Cl"], "fractional_positions": [[0.000, 0.000, 0.000], [0.500, 0.500, 0.500], [0.500, 0.500, 0.000], [0.000, 0.500, 0.500], [0.500, 0.000, 0.500]]}

***

{"formula": "CrBPCl2", "functional": "GGA-PBE", "state": "optimized geometry", "energy_ev_per_cell": -21.376, "magmom_total_mub_per_fu": 2.02, "e_form_raw_ev_per_fu": 4.03, "volume_a3_per_atom": 21.104, "lattice_angstrom": [[4.755, 0.000, 0.000], [0.000, 4.755, 0.000], [0.000, 0.000, 4.666]], "species": ["Cr", "B", "P", "Cl", "Cl"], "fractional_positions": [[0.000, 0.000, 0.000], [0.500, 0.500, 0.500], [0.000, 0.000, 0.500], [0.000, 0.500, 0.000], [0.500, 0.000, 0.000]]}

***

{"formula": "Rb2CrBCl6", "functional": "GGA-PBE", "state": "optimized geometry", "energy_ev_per_cell": -38.821, "magmom_total_mub_per_fu": 3.00, "e_form_raw_ev_per_fu": -9.51, "volume_a3_per_atom": 24.661, "lattice_angstrom": [[0.000, 4.977, 4.977], [4.977, 0.000, 4.977], [4.977, 4.977, 0.000]], "species": ["Rb", "Rb", "Cr", "B", "Cl", "Cl", "Cl", "Cl", "Cl", "Cl"], "fractional_positions": [[0.250, 0.250, 0.250], [0.750, 0.750, 0.750], [0.000, 0.000, 0.000], [0.500, 0.500, 0.500], [0.240, 0.240, 0.760], [0.240, 0.760, 0.240], [0.240, 0.760, 0.760], [0.760, 0.240, 0.240], [0.760, 0.240, 0.760], [0.760, 0.760, 0.240]]}

***

{"formula": "Cr2BRhCl", "functional": "GGA-PBE", "state": "optimized geometry", "energy_ev_per_cell": -28.148, "magmom_total_mub_per_fu": 6.58, "e_form_raw_ev_per_fu": 6.97, "volume_a3_per_atom": 14.465, "lattice_angstrom": [[4.360, 0.000, 0.000], [0.000, 4.360, 0.000], [0.000, 0.000, 3.804]], "species": ["Cr", "Cr", "B", "Rh", "Cl"], "fractional_positions": [[0.000, 0.500, 0.000], [0.500, 0.000, 0.000], [0.000, 0.000, 0.500], [0.500, 0.500, 0.500], [0.000, 0.000, 0.000]]}